Crystalline KV2Fe at its relaxed geometry. Source: Alexandria via LeMat-Bulk, functional PBE.

Its raw total energy is -5.542 eV per atom. Its formation energy is 1.408 eV/atom. As for the energy above the most stable polymorph in this dataset: 0.0033 eV per atom. As for the space group: I4_1/amd. Its crystal system is tetragonal.

abc: 6.398 6.398 11.624
angles: 90.00 90.00 90.00
Sites, in units of the cell vectors:
K (0.000, 0.250, 0.375)
K (0.000, 0.750, 0.625)
K (0.500, 0.250, 0.125)
K (0.500, 0.750, 0.875)
V (0.000, 0.000, 0.000)
V (0.000, 0.500, 0.000)
V (0.250, 0.250, 0.750)
V (0.250, 0.750, 0.250)
V (0.500, 0.000, 0.500)
V (0.500, 0.500, 0.500)
V (0.750, 0.250, 0.750)
V (0.750, 0.750, 0.250)
Fe (0.000, 0.250, 0.875)
Fe (0.000, 0.750, 0.125)
Fe (0.500, 0.250, 0.625)
Fe (0.500, 0.750, 0.375)